Record 1
AlZnPb2 at its PBEsol-relaxed geometry, computed with meta-GGA SCAN.

Values from the calculation:
- raw total energy (eV/atom) = -42.940
- total magnetic moment (μB/f.u.) = 0.00

```
AlZnPb2
1.0
3.3726 -0.0202 0.0000
-0.3875 3.3503 0.0000
0.0000 0.0000 8.2893
Pb Zn Al
2 1 1
direct
0.0000 0.0000 0.7425 Pb
0.0000 0.0000 0.2575 Pb
0.5000 0.5000 0.5000 Zn
0.5000 0.5000 0.0000 Al
```

***

Record 2
MgOs2Br at its PBEsol-relaxed geometry, computed with meta-GGA SCAN.

Values from the calculation:
- energy relative to the elements, uncorrected (eV/atom) = 1.157
- raw total energy (eV/atom) = -40.892
- total magnetic moment (μB/f.u.) = 0.00

```
MgOs2Br
1.0
-1.6046 2.9255 -2.4811
2.7061 -3.2335 -2.0785
-1.9843 -2.9347 -2.1770
Os Br Mg
2 1 1
direct
0.2500 0.5000 0.2500 Os
0.0000 0.0000 0.0000 Os
0.5000 0.0000 0.5000 Br
0.7500 0.5000 0.7500 Mg
```

***

Record 3
CeSnPt at its PBEsol-relaxed geometry, computed with meta-GGA SCAN.

Values from the calculation:
- raw total energy (eV/atom) = -51.400
- total magnetic moment (μB/f.u.) = 0.77

```
CeSnPt
1.0
-1.8229 -1.0119 4.0712
-6.0900 -2.1489 -3.2610
2.9027 -7.4057 -0.5409
Pt Sn Ce
4 4 4
direct
0.7500 0.7206 0.5881 Pt
0.2500 0.2794 0.4119 Pt
0.2500 0.7794 0.0881 Pt
0.7500 0.2206 0.9119 Pt
0.7500 0.3242 0.5849 Sn
0.7500 0.8242 0.9151 Sn
0.2500 0.1758 0.0849 Sn
0.2500 0.6758 0.4151 Sn
0.2500 0.5108 0.8034 Ce
0.2500 0.0108 0.6966 Ce
0.7500 0.9892 0.3034 Ce
0.7500 0.4892 0.1966 Ce
```

***

Record 4
KTiNb2 at its PBEsol-relaxed geometry, computed with meta-GGA SCAN.

Values from the calculation:
- raw total energy (eV/atom) = -21.193
- total magnetic moment (μB/f.u.) = 0.00

```
KTiNb2
1.0
-0.9204 -4.6642 0.6876
1.6435 -3.2584 -3.1236
3.5403 -2.9833 1.2812
Nb K Ti
2 1 1
direct
0.2500 0.2500 0.2500 Nb
0.7500 0.7500 0.7500 Nb
0.0000 0.0000 0.0000 K
0.5000 0.5000 0.5000 Ti
```

***

Record 5
La2BiO5 at its PBEsol-relaxed geometry, computed with meta-GGA SCAN.

Values from the calculation:
- energy relative to the elements, uncorrected (eV/atom) = -2.682
- raw total energy (eV/atom) = -27.175
- total magnetic moment (μB/f.u.) = 0.00

```
La2BiO5
1.0
5.5910 -0.0055 -0.1208
0.3408 5.6376 0.0348
0.3635 2.7423 8.4417
O La Bi
10 4 2
direct
0.2592 0.5000 0.5218 O
0.2602 0.8206 0.8414 O
0.7416 0.7975 0.9033 O
0.7569 0.4950 0.5055 O
0.7421 0.9766 0.5218 O
0.2443 0.9982 0.5046 O
0.2577 0.2996 0.9040 O
0.7392 0.3381 0.8417 O
0.2676 0.5893 0.1640 O
0.7306 0.2500 0.1643 O
0.0007 0.3180 0.3631 La
0.5003 0.1576 0.6840 La
0.0001 0.6561 0.6872 La
0.9993 0.9953 0.0104 La
0.5008 0.8016 0.3944 Bi
0.4995 0.5064 0.9886 Bi
```

***

Record 6
MnP6W3O24 at its PBEsol-relaxed geometry, computed with meta-GGA SCAN.

Values from the calculation:
- energy relative to the elements, uncorrected (eV/atom) = -2.292
- raw total energy (eV/atom) = -15.212
- total magnetic moment (μB/f.u.) = 2.89

```
MnP6W3O24
1.0
-4.9154 -4.6223 -5.3403
3.5487 -6.1119 -4.9090
-1.6002 -8.5347 1.9273
O Mn P W
24 1 6 3
direct
0.5739 0.7782 0.2292 O
0.7782 0.4187 0.2292 O
0.3990 0.2215 0.7845 O
0.4809 0.1210 0.0797 O
0.7135 0.4988 0.9213 O
0.0238 0.7415 0.5862 O
0.4187 0.5739 0.2292 O
0.8665 0.7135 0.9213 O
0.3465 0.9894 0.4167 O
0.2474 0.3465 0.4167 O
0.3021 0.0410 0.7186 O
0.6916 0.9721 0.2677 O
0.9721 0.0686 0.2677 O
0.9384 0.3021 0.7186 O
0.7415 0.6485 0.5862 O
0.3184 0.4809 0.0797 O
0.0410 0.9384 0.7186 O
0.0686 0.6916 0.2677 O
0.5949 0.3990 0.7845 O
0.6485 0.0238 0.5862 O
0.4988 0.8665 0.9213 O
0.1210 0.3184 0.0797 O
0.2215 0.5949 0.7845 O
0.9894 0.2474 0.4167 O
0.8586 0.8586 0.4242 Mn
0.9653 0.2516 0.2522 P
0.0345 0.7490 0.7447 P
0.5309 0.9653 0.2522 P
0.2516 0.5309 0.2522 P
0.4717 0.0345 0.7447 P
0.7490 0.4717 0.7447 P
0.1431 0.1431 0.5708 W
0.6416 0.6416 0.0752 W
0.3577 0.3577 0.9270 W
```